Computed, not measured: a relaxed structure of YMg2In at the PBE level of DFT.

Cell: 3.3338 3.3338 32.4318 Å, 90.00 90.00 120.00°
Space group R-3m (No. 166, hexagonal axes)
Symmetry-distinct sites (fractional):
Y1 0.0000 0.0000 0.0000 (multiplicity 3)
Mg1 0.0000 0.0000 0.2461 (multiplicity 6)
In1 0.0000 0.0000 0.5000 (multiplicity 3)

DFT formation energy = -29 meV/atom


Computed, not measured: a relaxed structure of Tb4Er7Tm2 at the PBE level of DFT.

Cell: 6.0018 6.0018 13.1181 Å, 90.00 90.00 120.00°
Space group P-31m (No. 162)
Symmetry-distinct sites (fractional):
Tb1 0.0000 0.0000 0.1073 (multiplicity 2)
Tb2 0.3333 0.6667 0.0000 (multiplicity 2)
Er1 0.0000 0.0000 0.5000 (multiplicity 1)
Er2 0.0000 0.3546 0.7135 (multiplicity 6)
Tm1 0.3333 0.6667 0.5000 (multiplicity 2)

DFT formation energy = 166 meV/atom


Computed, not measured: a relaxed structure of SrLiHgAu2 at the PBE level of DFT.

Cell: 4.910 4.910 4.917 Å, 90.00 90.00 90.00°
Space group P4/mmm (No. 123)
Symmetry-distinct sites (fractional):
Sr1 0.000 0.000 0.000 (multiplicity 1)
Li1 0.500 0.500 0.500 (multiplicity 1)
Hg1 0.500 0.500 0.000 (multiplicity 1)
Au1 0.000 0.500 0.500 (multiplicity 2)

DFT formation energy = -414 meV/atom
ΔE to the lowest computed polymorph = 160 meV/atom


Computed, not measured: a relaxed structure of NbSi3S at the PBE level of DFT.

Cell: 4.917 4.917 4.917 Å, 90.00 90.00 90.00°
Space group Pm-3m (No. 221)
Symmetry-distinct sites (fractional):
Nb1 0.000 0.000 0.000 (multiplicity 1)
Si1 0.000 0.000 0.500 (multiplicity 3)
S1 0.500 0.500 0.500 (multiplicity 1)

ΔE to the lowest computed polymorph = 102 meV/atom